Entry 1:
## Sc3Fe2Si3 (PBE)

Data for a relaxed Sc3Fe2Si3 crystal.

Computed properties:
**Density of states at the Fermi level**: 5.78 states/eV/f.u.
**Energy above the most stable polymorph in this dataset**: 295.4 meV per atom

Cell and atoms, written as CIF:
```
data_Sc3Fe2Si3
_chemical_formula_sum 'Sc12 Fe8 Si12'
_cell_length_a 3.760
_cell_length_b 9.739
_cell_length_c 13.799
_cell_angle_alpha 90.00
_cell_angle_beta 90.00
_cell_angle_gamma 90.00
_symmetry_space_group_name_H-M 'C m c m'
_symmetry_Int_Tables_number 63
_symmetry_space_group_name_Hall '-C 2c 2'
loop_
_atom_site_label
_atom_site_type_symbol
_atom_site_fract_x
_atom_site_fract_y
_atom_site_fract_z
Sc1 Sc 0.000 0.031 0.250
Sc2 Sc 0.000 0.150 0.054
Fe1 Fe 0.000 0.185 0.647
Si1 Si 0.000 0.304 0.250
Si2 Si 0.000 0.441 0.095
```

***

Entry 2:
## ScFe2Si (PBE)

Data for a relaxed ScFe2Si crystal.

Computed properties:
**Density of states at the Fermi level**: 4.51 states/eV/f.u.
**Uncorrected energy**: -7.511 eV/atom

Cell and atoms, written as CIF:
```
data_ScFe2Si
_chemical_formula_sum 'Sc2 Fe4 Si2'
_cell_length_a 3.550
_cell_length_b 3.550
_cell_length_c 9.263
_cell_angle_alpha 90.00
_cell_angle_beta 90.00
_cell_angle_gamma 90.00
_symmetry_space_group_name_H-M 'P 4/n m m'
_symmetry_Int_Tables_number 129
loop_
_symmetry_equiv_pos_as_xyz
'x,y,z'
'-x,-y,-z'
'-y+1/2,x,z'
'y+1/2,-x,-z'
'-x+1/2,-y+1/2,z'
'x+1/2,y+1/2,-z'
'y,-x+1/2,z'
'-y,x+1/2,-z'
'x+1/2,-y,-z'
'-x+1/2,y,z'
'-y,-x,-z'
'y,x,z'
'-x,y+1/2,-z'
'x,-y+1/2,z'
'y+1/2,x+1/2,-z'
'-y+1/2,-x+1/2,z'
loop_
_atom_site_label
_atom_site_type_symbol
_atom_site_fract_x
_atom_site_fract_y
_atom_site_fract_z
Sc1 Sc 0.250 0.250 0.226
Fe1 Fe 0.250 0.250 0.935
Fe2 Fe 0.250 0.750 0.500
Si1 Si 0.250 0.250 0.666
```

***

Entry 3:
## ScFeSi (PBE)

Data for a relaxed ScFeSi crystal.

Computed properties:
**Density of states at the Fermi level**: 1.89 states/eV/f.u.
**Uncorrected energy**: -7.187 eV/atom

Cell and atoms, written as CIF:
```
data_ScFeSi
_chemical_formula_sum 'Sc2 Fe2 Si2'
_cell_length_a 2.949
_cell_length_b 2.949
_cell_length_c 9.891
_cell_angle_alpha 90.00
_cell_angle_beta 90.00
_cell_angle_gamma 90.00
_symmetry_space_group_name_H-M 'I 4 m m'
_symmetry_Int_Tables_number 107
_symmetry_space_group_name_Hall 'I 4 -2'
loop_
_atom_site_label
_atom_site_type_symbol
_atom_site_fract_x
_atom_site_fract_y
_atom_site_fract_z
Sc1 Sc 0.000 0.000 0.000
Fe1 Fe 0.000 0.000 0.685
Si1 Si 0.000 0.000 0.294
```

***

Entry 4:
## Sc2FeSi (PBE)

Data for a relaxed Sc2FeSi crystal.

Computed properties:
**Uncorrected energy**: -6.927 eV/atom

Cell and atoms, written as CIF:
```
data_Sc2FeSi
_chemical_formula_sum 'Sc8 Fe4 Si4'
_cell_length_a 6.248
_cell_length_b 6.248
_cell_length_c 6.248
_cell_angle_alpha 90.00
_cell_angle_beta 90.00
_cell_angle_gamma 90.00
_symmetry_space_group_name_H-M 'F -4 3 m'
_symmetry_Int_Tables_number 216
_symmetry_space_group_name_Hall 'F -4 2 3'
loop_
_atom_site_label
_atom_site_type_symbol
_atom_site_fract_x
_atom_site_fract_y
_atom_site_fract_z
Sc1 Sc 0.000 0.000 0.000
Sc2 Sc 0.250 0.250 0.250
Fe1 Fe 0.000 0.000 0.500
Si1 Si 0.250 0.250 0.750
```

***

Entry 5:
## ScFe2Si (PBE)

Data for a relaxed ScFe2Si crystal.

Computed properties:
**Density of states at the Fermi level**: 3.42 states/eV/f.u.
**Uncorrected energy**: -7.095 eV/atom

Cell and atoms, written as CIF:
```
data_ScFe2Si
_chemical_formula_sum 'Sc4 Fe8 Si4'
_cell_length_a 3.896
_cell_length_b 3.896
_cell_length_c 16.608
_cell_angle_alpha 90.00
_cell_angle_beta 90.00
_cell_angle_gamma 90.00
_symmetry_space_group_name_H-M 'I -4 2 d'
_symmetry_Int_Tables_number 122
_symmetry_space_group_name_Hall 'I -4 2bw'
loop_
_atom_site_label
_atom_site_type_symbol
_atom_site_fract_x
_atom_site_fract_y
_atom_site_fract_z
Sc1 Sc 0.000 0.000 0.000
Fe1 Fe 0.140 0.250 0.625
Si1 Si 0.000 0.000 0.500
```

***

Entry 6:
## Sc6Fe2Si (PBE)

Data for a relaxed Sc6Fe2Si crystal.

Computed properties:
**Density of states at the Fermi level**: 10.28 states/eV/f.u.
**Uncorrected energy**: -6.988 eV/atom

Cell and atoms, written as CIF:
```
data_Sc6Fe2Si
_chemical_formula_sum 'Sc24 Fe8 Si4'
_cell_length_a 8.668
_cell_length_b 8.718
_cell_length_c 9.146
_cell_angle_alpha 90.00
_cell_angle_beta 90.00
_cell_angle_gamma 90.00
_symmetry_space_group_name_H-M 'I m m m'
_symmetry_Int_Tables_number 71
_symmetry_space_group_name_Hall '-I 2 2'
loop_
_atom_site_label
_atom_site_type_symbol
_atom_site_fract_x
_atom_site_fract_y
_atom_site_fract_z
Sc1 Sc 0.000 0.199 0.244
Sc2 Sc 0.191 0.500 0.170
Sc3 Sc 0.226 0.320 0.500
Fe1 Fe 0.000 0.331 0.000
Fe2 Fe 0.000 0.500 0.382
Si1 Si 0.000 0.000 0.000
Si2 Si 0.000 0.000 0.500
```

***

Entry 7:
## ScFe3Si (PBE)

Data for a relaxed ScFe3Si crystal.

Computed properties:
**Density of states at the Fermi level**: 5.13 states/eV/f.u.
**Energy above the most stable polymorph in this dataset**: 0.0 meV per atom

Cell and atoms, written as CIF:
```
data_ScFe3Si
_chemical_formula_sum 'Sc4 Fe12 Si4'
_cell_length_a 5.078
_cell_length_b 8.784
_cell_length_c 6.898
_cell_angle_alpha 90.00
_cell_angle_beta 90.00
_cell_angle_gamma 90.00
_symmetry_space_group_name_H-M 'I m m a'
_symmetry_Int_Tables_number 74
_symmetry_space_group_name_Hall '-I 2b 2'
loop_
_atom_site_label
_atom_site_type_symbol
_atom_site_fract_x
_atom_site_fract_y
_atom_site_fract_z
Sc1 Sc 0.000 0.250 0.099
Fe1 Fe 0.000 0.250 0.497
Fe2 Fe 0.250 0.114 0.750
Si1 Si 0.000 0.000 0.500
```

***

Entry 8:
## Sc3FeSi (PBE)

Data for a relaxed Sc3FeSi crystal.

Computed properties:
**Density of states at the Fermi level**: 5.09 states/eV/f.u.
**Energy above the most stable polymorph in this dataset**: 571.1 meV per atom

Cell and atoms, written as CIF:
```
data_Sc3FeSi
_chemical_formula_sum 'Sc3 Fe1 Si1'
_cell_length_a 4.934
_cell_length_b 4.934
_cell_length_c 4.934
_cell_angle_alpha 90.00
_cell_angle_beta 90.00
_cell_angle_gamma 90.00
_symmetry_space_group_name_H-M 'P m -3 m'
_symmetry_Int_Tables_number 221
_symmetry_space_group_name_Hall '-P 4 2 3'
loop_
_atom_site_label
_atom_site_type_symbol
_atom_site_fract_x
_atom_site_fract_y
_atom_site_fract_z
Sc1 Sc 0.000 0.000 0.500
Fe1 Fe 0.500 0.500 0.500
Si1 Si 0.000 0.000 0.000
```

***

Entry 9:
## ScFe2Si2 (PBE)

Data for a relaxed ScFe2Si2 crystal.

Computed properties:
**Density of states at the Fermi level**: 4.30 states/eV/f.u.
**Uncorrected energy**: -7.343 eV/atom

Cell and atoms, written as CIF:
```
data_ScFe2Si2
_chemical_formula_sum 'Sc1 Fe2 Si2'
_cell_length_a 3.736
_cell_length_b 3.736
_cell_length_c 5.045
_cell_angle_alpha 90.00
_cell_angle_beta 90.00
_cell_angle_gamma 90.00
_symmetry_space_group_name_H-M 'P 4/m m m'
_symmetry_Int_Tables_number 123
_symmetry_space_group_name_Hall '-P 4 2'
loop_
_atom_site_label
_atom_site_type_symbol
_atom_site_fract_x
_atom_site_fract_y
_atom_site_fract_z
Sc1 Sc 0.000 0.000 0.000
Fe1 Fe 0.000 0.500 0.500
Si1 Si 0.500 0.500 0.231
```

***

Entry 10:
## Sc2Fe3Si5 (PBE)

Data for a relaxed Sc2Fe3Si5 crystal.

Computed properties:
**Density of states at the Fermi level**: 5.97 states/eV/f.u.
**Energy above the most stable polymorph in this dataset**: 0.0 meV per atom

Cell and atoms, written as CIF:
```
data_Sc2Fe3Si5
_chemical_formula_sum 'Sc8 Fe12 Si20'
_cell_length_a 10.155
_cell_length_b 10.155
_cell_length_c 5.270
_cell_angle_alpha 90.00
_cell_angle_beta 90.00
_cell_angle_gamma 90.00
_symmetry_space_group_name_H-M 'P 4/m n c'
_symmetry_Int_Tables_number 128
_symmetry_space_group_name_Hall '-P 4 2n'
loop_
_atom_site_label
_atom_site_type_symbol
_atom_site_fract_x
_atom_site_fract_y
_atom_site_fract_z
Sc1 Sc 0.069 0.236 0.000
Fe1 Fe 0.000 0.500 0.250
Fe2 Fe 0.122 0.856 0.500
Si1 Si 0.000 0.000 0.246
Si2 Si 0.028 0.318 0.500
Si3 Si 0.178 0.678 0.250
```

***

Entry 11:
## ScFe4Si2 (PBE)

Data for a relaxed ScFe4Si2 crystal.

Computed properties:
**Density of states at the Fermi level**: 5.67 states/eV/f.u.
**Uncorrected energy**: -7.774 eV/atom

Cell and atoms, written as CIF:
```
data_ScFe4Si2
_chemical_formula_sum 'Sc2 Fe8 Si4'
_cell_length_a 6.863
_cell_length_b 6.863
_cell_length_c 3.773
_cell_angle_alpha 90.00
_cell_angle_beta 90.00
_cell_angle_gamma 90.00
_symmetry_space_group_name_H-M 'P 42/m n m'
_symmetry_Int_Tables_number 136
_symmetry_space_group_name_Hall '-P 4n 2n'
loop_
_atom_site_label
_atom_site_type_symbol
_atom_site_fract_x
_atom_site_fract_y
_atom_site_fract_z
Sc1 Sc 0.000 0.000 0.000
Fe1 Fe 0.092 0.352 0.500
Si1 Si 0.217 0.783 0.500
```